Record 1
Computed, not measured: an optimized crystal structure of Zr3TlAg at the PBE-GGA level of DFT.

Lattice parameters (Å, degrees): 5.156 5.156 5.156 90.00 90.00 90.00
Element x y z (fractional)
Zr (0.000, 0.000, 0.500)
Zr (0.000, 0.500, 0.000)
Zr (0.500, 0.000, 0.000)
Tl (0.500, 0.500, 0.500)
Ag (0.000, 0.000, 0.000)

Results
Space-group type   Pm-3m, No. 221
Crystal system   cubic
Relative energy among the computed polymorphs   0 kJ/mol of formula units
Volume   137.1 Å³/cell
Electronic total energy   -5.404 eV/atom
ΔH_f (0 K)   768 meV/atom

---

Record 2
Computed, not measured: an optimized crystal structure of ZrTlAg at the PBE-GGA level of DFT.

Lattice parameters (Å, degrees): 5.016 5.016 5.978 90.00 90.00 120.00
Element x y z (fractional)
Zr (0.333, 0.667, 0.250)
Zr (0.667, 0.333, 0.750)
Tl (0.333, 0.667, 0.750)
Tl (0.667, 0.333, 0.250)
Ag (0.000, 0.000, 0.000)
Ag (0.000, 0.000, 0.500)

Results
Space-group type   P6_3/mmc, No. 194
Crystal system   hexagonal
Volume   130.3 Å³/cell
Electronic total energy   -4.517 eV/atom
ΔH_f (0 K)   71 meV/atom

---

Record 3
Computed, not measured: an optimized crystal structure of ZrTlAg2 at the PBE-GGA level of DFT.

Lattice parameters (Å, degrees): 9.798 9.798 9.798 18.85 18.85 18.85
Element x y z (fractional)
Zr (0.000, 0.000, 0.000)
Tl (0.243, 0.243, 0.243)
Ag (0.493, 0.493, 0.493)
Ag (0.749, 0.749, 0.749)

Results
Space-group type   R3m, No. 160
Crystal system   trigonal
Volume   85.8 Å³/cell
Electronic total energy   -4.010 eV/atom
ΔH_f (0 K)   144 meV/atom

---

Record 4
Computed, not measured: an optimized crystal structure of Zr2TlAg at the PBE-GGA level of DFT.

Lattice parameters (Å, degrees): 5.026 5.026 5.026 60.00 60.00 60.00
Element x y z (fractional)
Zr (0.000, 0.000, 0.000)
Zr (0.250, 0.250, 0.250)
Tl (0.750, 0.750, 0.750)
Ag (0.500, 0.500, 0.500)

Results
Space-group type   F-43m, No. 216
Crystal system   cubic
Volume   89.8 Å³/cell
Electronic total energy   -5.292 eV/atom
ΔH_f (0 K)   287 meV/atom

---

- Which of these has the lowest electronic total energy?
  Zr3TlAg